(1)
Below is an optimized crystal structure of YNbSN2, with properties calculated at the GGA-PBE level.

Calculated values
Its uncorrected formation energy is 0.9575 eV/atom. For the theoretical density, the calculation gives 4.38 g/cm³. The offset from the most stable computed form is 1685 meV/atom. For the volume, the calculation gives 18.3 Å³/atom.

a b c (Å): 4.220 4.220 5.151
angles (deg): 90.00 90.00 90.00
Atoms (fractional coordinates):
1 Y 0.000 0.000 0.000
2 Nb 0.500 0.500 0.500
3 S 0.000 0.000 0.500
4 N 0.000 0.500 0.000
5 N 0.500 0.000 0.000



(2)
Below is an optimized crystal structure of CsNaTa2Mo, with properties calculated at the GGA-PBE level.

Calculated values
The total DFT energy (no corrections) is -4.468 eV per atom. For the theoretical density, the calculation gives 7.68 g/cm³. For the volume, the calculation gives 26.5 Å³/atom.

a b c (Å): 5.043 5.217 5.043
angles (deg): 90.00 90.00 90.00
Last column: magnetic moment on the atom in μB.
Atoms (fractional coordinates):
1 Cs 0.500 0.500 0.500  0.01
2 Na 0.000 0.000 0.000  -0.01
3 Mo 0.000 0.500 0.000  2.70
4 Ta 0.000 0.000 0.500  -0.71
5 Ta 0.500 0.000 0.000  -0.55



(3)
Below is an optimized crystal structure of U2FeRu, with properties calculated at the GGA-PBE level.

Calculated values
The total DFT energy (no corrections) is -10.073 eV per atom. For the theoretical density, the calculation gives 14.96 g/cm³. For the volume, the calculation gives 17.6 Å³/atom.

a b c (Å): 3.393 3.393 6.102
angles (deg): 90.00 90.00 90.00
Atoms (fractional coordinates):
1 Ru 0.500 0.500 0.500
2 U 0.000 0.000 0.788
3 U 0.000 0.000 0.212
4 Fe 0.500 0.500 0.000



(4)
Below is an optimized crystal structure of BeZnFe, with properties calculated at the GGA-PBE level.

Calculated values
For the theoretical density, the calculation gives 6.51 g/cm³. The offset from the most stable computed form is 35 meV/atom. For the volume, the calculation gives 11.1 Å³/atom.

a b c (Å): 6.755 2.499 9.298
angles (deg): 90.00 122.14 90.00
Last column: magnetic moment on the atom in μB.
Atoms (fractional coordinates):
1 Be 0.317 0.000 0.098  -0.04
2 Be 0.317 0.500 0.598  -0.04
3 Be 0.646 0.000 0.350  -0.06
4 Be 0.646 0.500 0.850  -0.06
5 Zn 0.321 0.000 0.828  -0.03
6 Zn 0.321 0.500 0.328  -0.03
7 Zn 0.997 0.000 0.361  -0.03
8 Zn 0.997 0.500 0.861  -0.03
9 Fe 0.629 0.000 0.611  2.13
10 Fe 0.629 0.500 0.111  2.13
11 Fe 0.941 0.000 0.075  2.01
12 Fe 0.941 0.500 0.575  2.01



(5)
Below is an optimized crystal structure of Rb2InMo, with properties calculated at the GGA-PBE level.

Calculated values
The total DFT energy (no corrections) is -2.840 eV per atom. For the theoretical density, the calculation gives 2.69 g/cm³. For the volume, the calculation gives 59.0 Å³/atom.

a b c (Å): 13.166 13.166 9.700
angles (deg): 47.26 47.26 90.00
Last column: magnetic moment on the atom in μB.
Atoms (fractional coordinates):
1 Mo 0.500 0.500 0.000  3.11
2 Mo 0.250 0.750 0.500  3.11
3 Rb 0.462 0.125 0.250  0.02
4 Rb 0.288 0.625 0.250  0.02
5 Rb 0.375 0.538 0.750  0.02
6 Rb 0.875 0.712 0.750  0.02
7 In 0.000 0.000 0.000  -0.08
8 In 0.750 0.250 0.500  -0.08



(6)
Below is an optimized crystal structure of OsSe2ICl, with properties calculated at the GGA-PBE level.

Calculated values
Its uncorrected formation energy is 1.6340 eV/atom. For the theoretical density, the calculation gives 6.52 g/cm³. For the volume, the calculation gives 26.0 Å³/atom.

a b c (Å): 5.539 4.235 5.539
angles (deg): 90.00 90.00 90.00
Last column: magnetic moment on the atom in μB.
Atoms (fractional coordinates):
1 I 0.500 0.500 0.500  0.00
2 Os 0.000 0.500 0.000  0.38
3 Se 0.000 0.000 0.500  -0.04
4 Se 0.500 0.000 0.000  -0.02
5 Cl 0.000 0.000 0.000  -0.01



(7)
Below is an optimized crystal structure of NdAlF, with properties calculated at the GGA-PBE level.

Calculated values
Its uncorrected formation energy is -1.7219 eV/atom. For the theoretical density, the calculation gives 5.68 g/cm³. For the volume, the calculation gives 18.5 Å³/atom.

a b c (Å): 3.409 3.409 9.566
angles (deg): 90.00 90.00 90.00
Atoms (fractional coordinates):
1 Al 0.000 0.500 0.574
2 Al 0.500 0.000 0.426
3 Nd 0.000 0.500 0.194
4 Nd 0.500 0.000 0.806
5 F 0.500 0.000 0.069
6 F 0.000 0.500 0.931



(8)
Below is an optimized crystal structure of ZnSi2Rh, with properties calculated at the GGA-PBE level.

Calculated values
Its uncorrected formation energy is 0.0354 eV/atom. For the theoretical density, the calculation gives 6.56 g/cm³. For the volume, the calculation gives 14.2 Å³/atom.

a b c (Å): 2.941 4.549 4.249
angles (deg): 90.00 90.00 90.00
Atoms (fractional coordinates):
1 Rh 0.000 0.500 0.500
2 Si 0.000 0.000 0.000
3 Si 0.500 0.500 0.000
4 Zn 0.500 0.000 0.500



Q: volume of number 2 (CsNaTa2Mo)?
A: 26.5 Å³/atom



Q: Which of these has the highest theoretical density?
A: U2FeRu



Q: Among the records above, which one has the highest volume?
A: Rb2InMo



Q: The highest volume belongs to which entry?
A: Rb2InMo